The following is a DFT calculation (GGA-PBE) of a geometry-optimized TcAsHBr2 structure.

Summary:
For the volume, the calculation gives 132.1 Å³/f.u. As for the total magnetization: 2.48 μB per formula unit. As for the relative energy among the computed polymorphs: 0.0 meV per atom. Its density of states at the Fermi level is 2.1 states/eV per cell.

Lattice parameters (Å, degrees): 5.289 5.289 4.724 90.00 90.00 90.00
Space group P4/mmm (No. 123)
Inequivalent atoms, fractional coordinates:
Tc 0.000 0.000 0.000 [1 per cell]
As 0.000 0.000 0.500 [1 per cell]
H 0.500 0.500 0.500 [1 per cell]
Br 0.000 0.500 0.000 [2 per cell]

---

The following is a DFT calculation (GGA-PBE) of a geometry-optimized TcAsHBr2 structure.

Summary:
For the volume, the calculation gives 82.3 Å³/f.u. As for the total magnetization: 0.00 μB per formula unit. As for the relative energy among the computed polymorphs: 356.0 meV per atom. Its density of states at the Fermi level is 3.8 states/eV per cell.

Lattice parameters (Å, degrees): 4.885 4.885 3.450 90.00 90.00 90.00
Space group P4/mmm (No. 123)
Inequivalent atoms, fractional coordinates:
Tc 0.000 0.000 0.000 [1 per cell]
As 0.500 0.500 0.000 [1 per cell]
H 0.500 0.500 0.500 [1 per cell]
Br 0.000 0.500 0.500 [2 per cell]

---

The following is a DFT calculation (GGA-PBE) of a geometry-optimized TeAsHBr2 structure.

Summary:
For the volume, the calculation gives 183.9 Å³/f.u. As for the total magnetization: 2.78 μB per formula unit. As for the relative energy among the computed polymorphs: 142.3 meV per atom. Its density of states at the Fermi level is 2.4 states/eV per cell.

Lattice parameters (Å, degrees): 5.693 5.693 5.675 90.00 90.00 90.00
Space group P4/mmm (No. 123)
Inequivalent atoms, fractional coordinates:
Te 0.000 0.000 0.000 [1 per cell]
As 0.000 0.000 0.500 [1 per cell]
H 0.500 0.500 0.500 [1 per cell]
Br 0.000 0.500 0.000 [2 per cell]

---

The following is a DFT calculation (GGA-PBE) of a geometry-optimized TeAs2HBr structure.

Summary:
For the volume, the calculation gives 178.5 Å³/f.u. As for the total magnetization: 3.23 μB per formula unit. As for the relative energy among the computed polymorphs: 449.4 meV per atom. Its density of states at the Fermi level is 2.9 states/eV per cell.

Lattice parameters (Å, degrees): 5.528 5.528 5.842 90.00 90.00 90.00
Space group P4/mmm (No. 123)
Inequivalent atoms, fractional coordinates:
Te 0.000 0.000 0.000 [1 per cell]
As 0.000 0.500 0.000 [2 per cell]
H 0.500 0.500 0.500 [1 per cell]
Br 0.000 0.000 0.500 [1 per cell]

---

The following is a DFT calculation (GGA-PBE) of a geometry-optimized TeAsHBr2 structure.

Summary:
For the volume, the calculation gives 107.9 Å³/f.u. As for the total magnetization: 0.00 μB per formula unit. As for the relative energy among the computed polymorphs: 0.0 meV per atom. Its density of states at the Fermi level is 4.5 states/eV per cell.

Lattice parameters (Å, degrees): 5.574 5.574 3.474 90.00 90.00 90.00
Space group P4/mmm (No. 123)
Inequivalent atoms, fractional coordinates:
Te 0.000 0.000 0.000 [1 per cell]
As 0.500 0.500 0.000 [1 per cell]
H 0.500 0.500 0.500 [1 per cell]
Br 0.000 0.500 0.500 [2 per cell]

---

The following is a DFT calculation (GGA-PBE) of a geometry-optimized TeAs2HBr structure.

Summary:
For the volume, the calculation gives 112.1 Å³/f.u. As for the total magnetization: 0.00 μB per formula unit. As for the relative energy among the computed polymorphs: 0.0 meV per atom. Its density of states at the Fermi level is 5.5 states/eV per cell.

Lattice parameters (Å, degrees): 4.078 4.078 6.741 90.00 90.00 90.00
Space group P4/mmm (No. 123)
Inequivalent atoms, fractional coordinates:
Te 0.000 0.000 0.000 [1 per cell]
As 0.000 0.500 0.500 [2 per cell]
H 0.500 0.500 0.500 [1 per cell]
Br 0.500 0.500 0.000 [1 per cell]

---

What did the first record say?
The following is a DFT calculation (GGA-PBE) of a geometry-optimized TcAsHBr2 structure.

Summary:
For the volume, the calculation gives 132.1 Å³/f.u. As for the total magnetization: 2.48 μB per formula unit. As for the relative energy among the computed polymorphs: 0.0 meV per atom. Its density of states at the Fermi level is 2.1 states/eV per cell.

Lattice parameters (Å, degrees): 5.289 5.289 4.724 90.00 90.00 90.00
Space group P4/mmm (No. 123)
Inequivalent atoms, fractional coordinates:
Tc 0.000 0.000 0.000 [1 per cell]
As 0.000 0.000 0.500 [1 per cell]
H 0.500 0.500 0.500 [1 per cell]
Br 0.000 0.500 0.000 [2 per cell]

---

Q: What is the relative energy among the computed polymorphs in the sixth record?
A: 0.0 meV per atom

---

Q: What is the relative energy among the computed polymorphs in the first record?
A: 0.0 meV per atom